VASP calculation (PBE) on a relaxed structure of MnNi2Br6.

Cell lengths 7.5833, 7.5833, 9.9645 Å; angles 112.78, 112.78, 28.56 degrees
Fractional positions:
Mn  0.0000  0.0000  0.0000
Ni  0.3323  0.3323  0.6633
Ni  0.6677  0.6677  0.3367
Br  0.0385  0.0385  0.2885
Br  0.2961  0.2961  0.3920
Br  0.3593  0.3593  0.9359
Br  0.6407  0.6407  0.0641
Br  0.7039  0.7039  0.6080
Br  0.9615  0.9615  0.7115

Output
Crystal system: monoclinic
Formation energy from raw total energies: -0.48 eV/atom